A relaxed KW2F11 crystal, computed with PBE+U.

The structure in CIF format:
```
data_KW2F11
_chemical_formula_sum 'K4 W8 F44'
_cell_length_a 9.545
_cell_length_b 9.736
_cell_length_c 11.132
_cell_angle_alpha 90.00
_cell_angle_beta 90.00
_cell_angle_gamma 90.00
_symmetry_space_group_name_H-M 'I b a m'
_symmetry_Int_Tables_number 72
_symmetry_space_group_name_Hall '-I 2 2c'
loop_
_atom_site_label
_atom_site_type_symbol
_atom_site_fract_x
_atom_site_fract_y
_atom_site_fract_z
K1 K 0.000 0.000 0.250
W1 W 0.151 0.344 0.000
F1 F 0.000 0.500 0.000
F2 F 0.044 0.247 0.119
F3 F 0.213 0.299 0.500
F4 F 0.245 0.056 0.381
```

Properties
Calculated total energy in eV/atom: -5.32